# Ti2IrPd3 (PBE, optimized geometry)
# Space group: Ibam (72)
# DFT formation energy, eV per formula unit: -2.81
data_Ti2IrPd3
_chemical_formula_sum 'Ti4 Ir2 Pd6'
_space_group_name_H-M_alt 'P 1'
_space_group_IT_number 1
_cell_length_a 7.6963
_cell_length_b 7.6963
_cell_length_c 7.6963
_cell_angle_alpha 138.62
_cell_angle_beta 59.84
_cell_angle_gamma 138.78
loop_
_space_group_symop_operation_xyz
'x,y,z'
loop_
_atom_site_label
_atom_site_fract_x
_atom_site_fract_y
_atom_site_fract_z
Ti1 0.1305 0.2267 0.3572
Ti2 0.3695 0.7267 0.0962
Ti3 0.6305 0.2733 0.9038
Ti4 0.8695 0.7733 0.6428
Ir1 0.2500 0.2500 0.0000
Ir2 0.7500 0.7500 0.0000
Pd1 0.1796 0.7127 0.8923
Pd2 0.2500 0.7500 0.5000
Pd3 0.3204 0.2127 0.5331
Pd4 0.6796 0.7873 0.4669
Pd5 0.7500 0.2500 0.5000
Pd6 0.8204 0.2873 0.1077

# Y6Tl5Ga (PBE, optimized geometry)
# Space group: C2/m (12)
# DFT formation energy, eV per formula unit: -4.84
data_Y6Tl5Ga
_chemical_formula_sum 'Y6 Tl5 Ga1'
_space_group_name_H-M_alt 'P 1'
_space_group_IT_number 1
_cell_length_a 9.2443
_cell_length_b 9.2443
_cell_length_c 5.3450
_cell_angle_alpha 106.71
_cell_angle_beta 106.71
_cell_angle_gamma 47.67
loop_
_space_group_symop_operation_xyz
'x,y,z'
loop_
_atom_site_label
_atom_site_fract_x
_atom_site_fract_y
_atom_site_fract_z
Y1 0.0820 0.5944 0.3380
Y2 0.2389 0.7611 0.0000
Y3 0.4056 0.9180 0.6620
Y4 0.5944 0.0820 0.3380
Y5 0.7611 0.2389 0.0000
Y6 0.9180 0.4056 0.6620
Tl1 0.1724 0.1724 0.1728
Tl2 0.3343 0.3343 0.8341
Tl3 0.5000 0.5000 0.5000
Tl4 0.6657 0.6657 0.1659
Tl5 0.8276 0.8276 0.8272
Ga1 0.0000 0.0000 0.5000

# PmPrAlZn (PBE, optimized geometry)
# Space group: P4mm (99)
# DFT formation energy, eV per formula unit: -1.32
data_PmPrAlZn
_chemical_formula_sum 'Pm1 Pr1 Al1 Zn1'
_space_group_name_H-M_alt 'P 1'
_space_group_IT_number 1
_cell_length_a 3.6745
_cell_length_b 3.6745
_cell_length_c 7.5631
_cell_angle_alpha 90.00
_cell_angle_beta 90.00
_cell_angle_gamma 90.00
loop_
_space_group_symop_operation_xyz
'x,y,z'
loop_
_atom_site_label
_atom_site_fract_x
_atom_site_fract_y
_atom_site_fract_z
Pm1 0.0000 0.0000 0.0000
Pr1 0.0000 0.0000 0.4917
Al1 0.5000 0.5000 0.7510
Zn1 0.5000 0.5000 0.2367

# Ti2Cu9B6O22 (PBE, optimized geometry)
# Space group: P-1 (2)
# Formation energy (no corrections), eV per atom: -1.629
data_Ti2Cu9B6O22
_chemical_formula_sum 'Ti4 Cu18 B12 O44'
_space_group_name_H-M_alt 'P 1'
_space_group_IT_number 1
_cell_length_a 7.4918
_cell_length_b 10.7654
_cell_length_c 11.9749
_cell_angle_alpha 102.53
_cell_angle_beta 99.95
_cell_angle_gamma 92.47
loop_
_space_group_symop_operation_xyz
'x,y,z'
loop_
_atom_site_label
_atom_site_fract_x
_atom_site_fract_y
_atom_site_fract_z
Ti1 0.1110 0.0978 0.4502
Ti2 0.3841 0.9142 0.5673
Ti3 0.6159 0.0858 0.4327
Ti4 0.8890 0.9022 0.5498
Cu1 0.0667 0.7854 0.7921
Cu2 0.1199 0.5019 0.8884
Cu3 0.1216 0.7692 0.2984
Cu4 0.1772 0.3632 0.4859
Cu5 0.2594 0.0019 0.9923
Cu6 0.3113 0.6439 0.5199
Cu7 0.3649 0.5059 0.1148
Cu8 0.4327 0.2341 0.6208
Cu9 0.4498 0.2132 0.1959
Cu10 0.5502 0.7868 0.8041
Cu11 0.5673 0.7659 0.3792
Cu12 0.6351 0.4941 0.8852
Cu13 0.6887 0.3561 0.4801
Cu14 0.7406 0.9981 0.0077
Cu15 0.8228 0.6368 0.5141
Cu16 0.8784 0.2308 0.7016
Cu17 0.8801 0.4981 0.1116
Cu18 0.9333 0.2146 0.2079
B1 0.0212 0.0651 0.8008
B2 0.0695 0.4946 0.2945
B3 0.1790 0.2557 0.9637
B4 0.3104 0.7453 0.0260
B5 0.4419 0.5031 0.7039
B6 0.4610 0.9297 0.1903
B7 0.5390 0.0703 0.8097
B8 0.5581 0.4969 0.2961
B9 0.6896 0.2547 0.9740
B10 0.8210 0.7443 0.0363
B11 0.9305 0.5054 0.7055
B12 0.9788 0.9349 0.1992
O1 0.0470 0.6057 0.7763
O2 0.0614 0.1941 0.8587
O3 0.0684 0.5939 0.2365
O4 0.0738 0.2186 0.3581
O5 0.0960 0.9699 0.8459
O6 0.0996 0.9520 0.3019
O7 0.1329 0.9443 0.5377
O8 0.1650 0.4999 0.4027
O9 0.1708 0.2405 0.5814
O10 0.1921 0.3864 0.9901
O11 0.2390 0.8156 0.9485
O12 0.2693 0.1857 0.0341
O13 0.2963 0.6146 0.0037
O14 0.3230 0.7635 0.4207
O15 0.3297 0.5069 0.6023
O16 0.3799 0.0790 0.4803
O17 0.4040 0.8045 0.1360
O18 0.4115 0.7856 0.6500
O19 0.4232 0.0284 0.1369
O20 0.4402 0.0510 0.7005
O21 0.4565 0.3939 0.2165
O22 0.4737 0.3919 0.7428
O23 0.5263 0.6081 0.2572
O24 0.5435 0.6061 0.7835
O25 0.5598 0.9490 0.2995
O26 0.5768 0.9716 0.8631
O27 0.5885 0.2144 0.3500
O28 0.5960 0.1955 0.8640
O29 0.6201 0.9210 0.5197
O30 0.6703 0.4931 0.3977
O31 0.6770 0.2365 0.5793
O32 0.7037 0.3854 0.9963
O33 0.7307 0.8143 0.9659
O34 0.7610 0.1844 0.0515
O35 0.8079 0.6136 0.0099
O36 0.8292 0.7595 0.4186
O37 0.8350 0.5001 0.5973
O38 0.8671 0.0557 0.4623
O39 0.9004 0.0480 0.6981
O40 0.9040 0.0301 0.1541
O41 0.9262 0.7814 0.6419
O42 0.9316 0.4061 0.7635
O43 0.9386 0.8059 0.1413
O44 0.9530 0.3943 0.2237

# BaNaLi3 (PBE, optimized geometry)
# Space group: Pm-3m (221)
# DFT formation energy, eV per formula unit: 0.98
data_BaNaLi3
_chemical_formula_sum 'Ba1 Na1 Li3'
_space_group_name_H-M_alt 'P 1'
_space_group_IT_number 1
_cell_length_a 5.6352
_cell_length_b 5.6352
_cell_length_c 5.6352
_cell_angle_alpha 90.00
_cell_angle_beta 90.00
_cell_angle_gamma 90.00
loop_
_space_group_symop_operation_xyz
'x,y,z'
loop_
_atom_site_label
_atom_site_fract_x
_atom_site_fract_y
_atom_site_fract_z
Ba1 0.0000 0.0000 0.0000
Na1 0.5000 0.5000 0.5000
Li1 0.0000 0.5000 0.5000
Li2 0.5000 0.0000 0.5000
Li3 0.5000 0.5000 0.0000

# LiBe2Pt (PBE, optimized geometry)
# Space group: R-3m (166)
# DFT formation energy, eV per formula unit: -0.17
data_LiBe2Pt
_chemical_formula_sum 'Li1 Be2 Pt1'
_space_group_name_H-M_alt 'P 1'
_space_group_IT_number 1
_cell_length_a 8.0854
_cell_length_b 8.0854
_cell_length_c 8.0854
_cell_angle_alpha 19.57
_cell_angle_beta 19.57
_cell_angle_gamma 19.57
loop_
_space_group_symop_operation_xyz
'x,y,z'
loop_
_atom_site_label
_atom_site_fract_x
_atom_site_fract_y
_atom_site_fract_z
Li1 0.0000 0.0000 0.0000
Be1 0.2426 0.2426 0.2426
Be2 0.7574 0.7574 0.7574
Pt1 0.5000 0.5000 0.5000

# GdZrHg (PBE, optimized geometry)
# Space group: I4mm (107)
# DFT formation energy, eV per formula unit: -0.54
data_GdZrHg
_chemical_formula_sum 'Gd1 Zr1 Hg1'
_space_group_name_H-M_alt 'P 1'
_space_group_IT_number 1
_cell_length_a 6.8325
_cell_length_b 6.8325
_cell_length_c 6.8325
_cell_angle_alpha 150.79
_cell_angle_beta 150.79
_cell_angle_gamma 41.79
loop_
_space_group_symop_operation_xyz
'x,y,z'
loop_
_atom_site_label
_atom_site_fract_x
_atom_site_fract_y
_atom_site_fract_z
Gd1 0.0000 0.0000 0.0000
Zr1 0.3219 0.3219 0.0000
Hg1 0.6753 0.6753 0.0000

# Tm2Ga3Hg (PBE, optimized geometry)
# Space group: P6_3/mmc (194)
# DFT formation energy, eV per formula unit: -3.15
data_Tm2Ga3Hg
_chemical_formula_sum 'Tm8 Ga12 Hg4'
_space_group_name_H-M_alt 'P 1'
_space_group_IT_number 1
_cell_length_a 9.0195
_cell_length_b 9.0195
_cell_length_c 7.1157
_cell_angle_alpha 90.00
_cell_angle_beta 90.00
_cell_angle_gamma 120.00
loop_
_space_group_symop_operation_xyz
'x,y,z'
loop_
_atom_site_label
_atom_site_fract_x
_atom_site_fract_y
_atom_site_fract_z
Tm1 0.0000 0.0000 0.2500
Tm2 0.0000 0.0000 0.7500
Tm3 0.0094 0.5047 0.2500
Tm4 0.4953 0.5047 0.2500
Tm5 0.4953 0.9906 0.2500
Tm6 0.5047 0.0094 0.7500
Tm7 0.5047 0.4953 0.7500
Tm8 0.9906 0.4953 0.7500
Ga1 0.1630 0.3261 0.0253
Ga2 0.1630 0.3261 0.4747
Ga3 0.1630 0.8370 0.0253
Ga4 0.1630 0.8370 0.4747
Ga5 0.3261 0.1630 0.5253
Ga6 0.3261 0.1630 0.9747
Ga7 0.6739 0.8370 0.0253
Ga8 0.6739 0.8370 0.4747
Ga9 0.8370 0.1630 0.5253
Ga10 0.8370 0.1630 0.9747
Ga11 0.8370 0.6739 0.5253
Ga12 0.8370 0.6739 0.9747
Hg1 0.3333 0.6667 0.5354
Hg2 0.3333 0.6667 0.9646
Hg3 0.6667 0.3333 0.0354
Hg4 0.6667 0.3333 0.4646

no.,calculated density (g cm⁻³),calculated total energy (eV per atom)
1,10.26,-7.174
2,8.42,-4.874
3,6.15,-3.967
4,3.89,-6.803
5,1.68,-1.601
6,7.04,-3.895
7,9.84,-7.823
8,9.91,-3.579